Entry from Alexandria: CaCd2In after structural relaxation (PBE).

abc: 4.9909 3.5091 6.0950
angles: 91.19 90.00 90.00
Sites, in units of the cell vectors:
1 Cd 0.5000 0.2520 0.2473
2 Cd 0.0000 0.2600 0.9976
3 Ca 0.5000 0.7503 0.7487
4 In 0.0000 0.2377 0.5065

Results
Formation energy   -227.0 meV per atom
Total magnetic moment   0.000 μB/f.u.

=====

Entry from Alexandria: CaCd2In after structural relaxation (PBE).

abc: 3.6984 3.6984 7.5866
angles: 90.00 90.00 89.99
Sites, in units of the cell vectors:
1 In 0.0000 0.0000 0.4728
2 Cd 0.5000 0.5000 0.2437
3 Cd 0.0000 0.0000 0.0281
4 Ca 0.5000 0.5000 0.7553

Results
Formation energy   -214.0 meV per atom
Total magnetic moment   0.000 μB/f.u.

=====

Copy entry 2 word for word.
Entry from Alexandria: CaCd2In after structural relaxation (PBE).

abc: 3.6984 3.6984 7.5866
angles: 90.00 90.00 89.99
Sites, in units of the cell vectors:
1 In 0.0000 0.0000 0.4728
2 Cd 0.5000 0.5000 0.2437
3 Cd 0.0000 0.0000 0.0281
4 Ca 0.5000 0.5000 0.7553

Results
Formation energy   -214.0 meV per atom
Total magnetic moment   0.000 μB/f.u.